# 1
Computed, not measured: an optimized crystal structure of Cd2BiIrI at the PBE level of DFT.

Its distance to the lowest polymorph of the same formula is 0.0 meV/atom. The total moment is 0.00 μB per formula unit. The uncorrected formation energy comes out at 0.0487 eV/atom.

The structure belongs to space group P4/mmm (No. 123); the cell edges are 5.433, 5.433 and 5.081 Å and the angles 90.00°, 90.00° and 90.00°. The inequivalent atoms are Cd at (0.000, 0.500, 0.000), Bi at (0.000, 0.000, 0.500), Ir at (0.000, 0.000, 0.000) and I at (0.500, 0.500, 0.500).

# 2
Computed, not measured: an optimized crystal structure of ZrMoAs2 at the PBE level of DFT.

Its distance to the lowest polymorph of the same formula is 291.8 meV/atom. The total moment is 0.00 μB per formula unit.

The structure belongs to space group Pm (No. 6); the cell edges are 3.346, 4.845 and 4.938 Å and the angles 90.00°, 109.68° and 90.00°. The inequivalent atoms are Zr at (0.000, 0.000, 0.000), Mo at (0.301, 0.500, 0.604), As at (0.282, 0.000, 0.561) and As at (0.585, 0.500, 0.169).

# 3
Computed, not measured: an optimized crystal structure of ScSi2As at the PBE level of DFT.

The total moment is 0.00 μB per formula unit. The uncorrected formation energy comes out at 0.1020 eV/atom.

The structure belongs to space group Cmmm (No. 65); the cell edges are 3.811, 4.655 and 7.898 Å and the angles 90.00°, 90.00° and 90.00°. The inequivalent atoms are Sc at (0.000, 0.000, 0.000), Si at (0.000, 0.500, 0.251) and As at (0.000, 0.000, 0.500).

# 4
Computed, not measured: an optimized crystal structure of Na4CeU3N8 at the PBE level of DFT.

The total moment is 2.14 μB per formula unit. The uncorrected formation energy comes out at -1.0464 eV/atom.

The structure belongs to space group R-3m (No. 166, hexagonal axes); the cell edges are 7.0680, 7.0680 and 16.9905 Å and the angles 90.00°, 90.00° and 120.00°. The inequivalent atoms are Na at (0.0000, 0.0000, 0.0000), Na at (0.0000, 0.5000, 0.0000), Ce at (0.0000, 0.0000, 0.5000), U at (0.0000, 0.5000, 0.5000), N at (0.0000, 0.0000, 0.2285) and N at (0.0206, 0.5103, 0.7733).

# 5
Computed, not measured: an optimized crystal structure of Sr4PdI6 at the PBE level of DFT.

The total moment is 0.00 μB per formula unit. The uncorrected formation energy comes out at -1.3872 eV/atom.

The structure belongs to space group P4_2/nmc (No. 137, origin choice 2); the cell edges are 10.888, 10.888 and 7.977 Å and the angles 90.00°, 90.00° and 90.00°. The inequivalent atoms are Sr at (0.001, 0.750, 0.081), Pd at (0.250, 0.750, 0.250), I at (0.042, 0.542, 0.750) and I at (0.250, 0.250, 0.150).

# 6
Computed, not measured: an optimized crystal structure of Ga4NiAu at the PBE level of DFT.

The total moment is 0.00 μB per formula unit. The calculation puts the energy at -3.81 eV per atom.

The structure belongs to space group P4/mmm (No. 123); the cell edges are 4.093, 4.093 and 6.273 Å and the angles 90.00°, 90.00° and 90.00°. The inequivalent atoms are Ga at (0.000, 0.500, 0.220), Ni at (0.000, 0.000, 0.000) and Au at (0.500, 0.500, 0.500).

# 7
Computed, not measured: an optimized crystal structure of Al4BrF2 at the PBE level of DFT.

The total moment is 0.00 μB per formula unit. The uncorrected formation energy comes out at -0.4559 eV/atom.

The structure belongs to space group I4/mmm (No. 139); the cell edges are 5.606, 5.606 and 13.548 Å and the angles 90.00°, 90.00° and 90.00°. The inequivalent atoms are Al at (0.000, 0.000, 0.229), Al at (0.000, 0.500, 0.000), Br at (0.000, 0.000, 0.500) and F at (0.000, 0.000, 0.100).

# 8
Computed, not measured: an optimized crystal structure of PuZnCo2H8 at the PBE level of DFT.

The total moment is 6.15 μB per formula unit. The calculation puts the energy at -4.71 eV per atom.

The structure belongs to space group P-3 (No. 147); the cell edges are 4.3266, 4.3266 and 5.6880 Å and the angles 90.00°, 90.00° and 120.00°. The inequivalent atoms are Pu at (0.0000, 0.0000, 0.0000), Zn at (0.0000, 0.0000, 0.5000), Co at (0.3333, 0.6667, 0.5967), H at (0.0608, 0.6321, 0.3398) and H at (0.3333, 0.6667, 0.8844).

# 9
Computed, not measured: an optimized crystal structure of SnGe2W2 at the PBE level of DFT.

Its distance to the lowest polymorph of the same formula is 2.4 meV/atom. The total moment is 0.00 μB per formula unit.

The structure belongs to space group P4/mbm (No. 127); the cell edges are 8.001, 8.001 and 2.797 Å and the angles 90.00°, 90.00° and 90.00°. The inequivalent atoms are Sn at (0.000, 0.000, 0.000), Ge at (0.144, 0.356, 0.000) and W at (0.148, 0.648, 0.500).

# 10
Computed, not measured: an optimized crystal structure of GdVS2 at the PBE level of DFT.

The total moment is 9.43 μB per formula unit. The uncorrected formation energy comes out at -0.8152 eV/atom.

The structure belongs to space group R-3m (No. 166, hexagonal axes); the cell edges are 3.6329, 3.6329 and 23.9152 Å and the angles 90.00°, 90.00° and 120.00°. The inequivalent atoms are Gd at (0.0000, 0.0000, 0.0000), V at (0.0000, 0.0000, 0.5000) and S at (0.0000, 0.0000, 0.1124).

# 11
Computed, not measured: an optimized crystal structure of Zr2CdPd9 at the PBE level of DFT.

The total moment is 0.00 μB per formula unit. The calculation puts the energy at -6.05 eV per atom.

The structure belongs to space group P4/mmm (No. 123); the cell edges are 4.038, 4.038 and 12.085 Å and the angles 90.00°, 90.00° and 90.00°. The inequivalent atoms are Zr at (0.000, 0.000, 0.170), Cd at (0.000, 0.000, 0.500), Pd at (0.000, 0.500, 0.000), Pd at (0.000, 0.500, 0.329), Pd at (0.500, 0.500, 0.164) and Pd at (0.500, 0.500, 0.500).

# 12
Computed, not measured: an optimized crystal structure of CeMgCdIr at the PBE level of DFT.

The total moment is 0.00 μB per formula unit. The calculation puts the energy at -4.62 eV per atom.

The structure belongs to space group F-43m (No. 216); the cell edges are 6.957, 6.957 and 6.957 Å and the angles 90.00°, 90.00° and 90.00°. The inequivalent atoms are Ce at (0.000, 0.000, 0.000), Mg at (0.000, 0.000, 0.500), Cd at (0.250, 0.250, 0.750) and Ir at (0.250, 0.250, 0.250).